DFT (PBE) results for MgZnPt4 after structural relaxation.

## Properties
VASP energy ... -4.9457 eV per atom
Magnetic moment ... 0.0000 μB per atom
V ... 186.4 Å³/cell
ΔE to the lowest computed polymorph ... 0.0000 eV/atom
DFT formation energy ... -0.4404 eV/atom

a = 9.1617 Å, b = 3.8146 Å, c = 5.6084 Å
α = 90.00°, β = 108.04°, γ = 90.00°
With the nearest neighbours (Å) after each atom.
Space group C2/m (No. 12)
One atom of each set of equivalent atoms:
Mg1 0.0000 0.0000 0.0000 (multiplicity 2)  10 Pt 2.75-2.95, 2 Zn 2.80
Zn1 0.0000 0.0000 0.5000 (multiplicity 2)  10 Pt 2.74-2.97, 2 Mg 2.80
Pt1 0.1589 0.5000 0.3325 (multiplicity 4)  3 Zn 2.74-2.97, 2 Mg 2.75, 7 Pt 2.77-2.84
Pt2 0.1610 0.5000 0.8271 (multiplicity 4)  2 Zn 2.74, 3 Mg 2.76-2.95, 7 Pt 2.77-2.85